A plane-wave DFT calculation with PBE was carried out for a relaxed structure of LuPu2C.

Values from the calculation:
The formation energy comes out at 0.35 eV per atom. Its crystal system is trigonal.

a b c (Å): 3.9475 3.9475 17.9840
angles (deg): 90.00 90.00 120.00
With the nearest neighbours (Å) after each atom.
Space group R-3m (No. 166, hexagonal axes)
One atom of each set of equivalent atoms:
1 Lu 0.0000 0.0000 0.0000 [3 per cell]  8 Pu 3.43, 6 C 3.77
2 Pu 0.0000 0.0000 0.1908 [6 per cell]  3 C 2.32, 3 Pu 2.44
3 C 0.0000 0.0000 0.5000 [3 per cell]  6 Pu 2.32